# 1
# PWO5 PBE with a Hubbard U optimized geometry
# spin magnetization	1.0	μB per formula unit
# crystal system	orthorhombic
# uncorrected energy	-7.494	eV/atom
data_PWO5
_chemical_formula_sum 'P4 W4 O20'
_cell_length_a 11.472
_cell_length_b 6.721
_cell_length_c 5.349
_cell_angle_alpha 90.00
_cell_angle_beta 90.00
_cell_angle_gamma 90.00
_space_group_name_H-M_alt 'P n a 21'
_space_group_IT_number 33
_space_group_name_Hall 'P 2c -2n'
loop_
_atom_site_label
_atom_site_type_symbol
_atom_site_fract_x
_atom_site_fract_y
_atom_site_fract_z
_atom_site_occupancy
P1 P 0.156 0.029 0.000 1
W1 W 0.063 0.329 0.494 1
O1 O 0.006 0.483 0.195 1
O2 O 0.086 0.836 0.980 1
O3 O 0.122 0.173 0.790 1
O4 O 0.133 0.131 0.256 1
O5 O 0.214 0.483 0.477 1

***

# 2
# GaTeW2O PBE with a Hubbard U optimized geometry
# spin magnetization	6.4	μB per formula unit
# crystal system	tetragonal
# uncorrected energy	-4.658	eV/atom
data_GaTeW2O
_chemical_formula_sum 'Ga1 Te1 W2 O1'
_cell_length_a 4.364
_cell_length_b 4.364
_cell_length_c 5.285
_cell_angle_alpha 90.00
_cell_angle_beta 90.00
_cell_angle_gamma 90.00
_space_group_name_H-M_alt 'P 4/m m m'
_space_group_IT_number 123
_space_group_name_Hall '-P 4 2'
loop_
_atom_site_label
_atom_site_type_symbol
_atom_site_fract_x
_atom_site_fract_y
_atom_site_fract_z
_atom_site_occupancy
Ga1 Ga 0.000 0.000 0.000 1
Te1 Te 0.500 0.500 0.000 1
W1 W 0.000 0.500 0.500 1
O1 O 0.000 0.000 0.500 1